VASP calculation (PBE) on an optimized crystal structure of Na3AgGe.

## Properties
The calculation puts the formation energy at 176 kJ/mol of formula units. For the total magnetization, the calculation gives 0.194 μB per atom. The value obtained for the energy above the lowest structure with this stoichiometry is 368 meV/atom.

a b c (Å): 5.570 5.570 5.570
angles (deg): 90.00 90.00 90.00
Space group Pm-3m (No. 221)
One atom of each set of equivalent atoms:
Na  0.000  0.000  0.500 x3
Ag  0.500  0.500  0.500 x1
Ge  0.000  0.000  0.000 x1



VASP calculation (PBE) on an optimized crystal structure of Sm12InNi6.

## Properties
The calculation puts the formation energy at -564 kJ/mol of formula units. For the total magnetization, the calculation gives 0.000 μB per atom.

a b c (Å): 9.931 9.931 9.931
angles (deg): 90.00 90.00 90.00
Space group Im-3 (No. 204)
One atom of each set of equivalent atoms:
Sm  0.000  0.305  0.186 x24
In  0.000  0.000  0.000 x2
Ni  0.000  0.122  0.500 x12